[1]
Compound: YTe2W
Source: the Alexandria database
Functional: PBE-GGA
Structure: relaxed

Results
- Total magnetic moment: 0.000 Bohr magnetons per cell
- ΔE_f (raw): 0.00 eV per atom
- Space group: Pm (6)
- Energy above the most stable polymorph in this dataset: 152.7 meV per atom

Cell lengths 3.6011, 5.2033, 5.5262 Å; angles 90.00, 109.00, 90.00 degrees
Last column: nearest neighbours and their distance in Å.
Element x y z (fractional)
Y1 0.0000 0.0000 0.0000  3 Te 2.92-2.93
Te1 0.2799 0.0000 0.5582  2 W 2.70, 3 Y 2.92-2.93
Te2 0.6293 0.5000 0.2558  3 W 2.91-2.93
W1 0.3492 0.5000 0.6946  5 Te 2.70-2.93

---

[2]
Compound: YTe2W
Source: the Alexandria database
Functional: PBE-GGA
Structure: relaxed

Results
- Total magnetic moment: 2.517 Bohr magnetons per cell
- ΔE_f (raw): 0.30 eV per atom
- Space group: I-4m2 (119)
- Energy above the most stable polymorph in this dataset: 453.4 meV per atom

Cell lengths 6.0432, 6.0432, 6.0432 Å; angles 138.48, 138.48, 60.17 degrees
Last column: nearest neighbours and their distance in Å.
Element x y z (fractional)
Y1 0.0000 0.0000 0.0000  8 Te 3.03-3.38, 4 W 3.38
Te1 0.2500 0.7500 0.5000  4 W 3.03, 4 Te 3.38, 4 Y 3.38
Te2 0.5000 0.5000 0.0000  4 Y 3.03, 4 W 3.38, 4 Te 3.38
W1 0.7500 0.2500 0.5000  8 Te 3.03-3.38, 4 Y 3.38

---

[3]
Compound: Y2TeW
Source: the Alexandria database
Functional: PBE-GGA
Structure: relaxed

Results
- Total magnetic moment: 0.096 Bohr magnetons per cell
- ΔE_f (raw): 0.07 eV per atom
- Space group: R-3m (166)

Cell lengths 8.9705, 8.9705, 8.9705 Å; angles 23.93, 23.93, 23.93 degrees
Last column: nearest neighbours and their distance in Å.
Element x y z (fractional)
Y1 0.2475 0.2475 0.2475  3 W 3.01, 3 Te 3.11
Y2 0.7525 0.7525 0.7525  3 W 3.01, 3 Te 3.11
Te1 0.0000 0.0000 0.0000  6 Y 3.11
W1 0.5000 0.5000 0.5000  6 Y 3.01

---

Question: ΔE_f (raw) of number 2 (YTe2W)?
Answer: 0.30 eV per atom